An optimized crystal structure of SrNi2Se. Source: Alexandria via LeMat-Bulk, functional PBE-GGA.

Summary:
Magnetization   0.00 μB per formula unit
Energy relative to the elements, uncorrected   -0.37 eV per atom
Crystal system   trigonal
SG   R-3m

Cell: 4.165 4.165 15.621 Å, 90.00 90.00 120.00°
Element x y z (fractional)
Sr  0.000  0.000  0.000
Sr  0.333  0.667  0.667
Sr  0.667  0.333  0.333
Ni  0.000  0.000  0.192
Ni  0.000  0.000  0.808
Ni  0.333  0.667  0.475
Ni  0.333  0.667  0.858
Ni  0.667  0.333  0.142
Ni  0.667  0.333  0.525
Se  0.000  0.000  0.500
Se  0.333  0.667  0.167
Se  0.667  0.333  0.833

=====

An optimized crystal structure of Ac2DyThBi4. Source: Alexandria via LeMat-Bulk, functional PBE-GGA.

Summary:
Magnetization   0.00 μB per formula unit
Crystal system   monoclinic
SG   P2/m
Energy of formation   -0.86 eV/atom

Cell: 8.117 4.701 8.186 Å, 90.00 109.38 90.00°
Element x y z (fractional)
Ac  0.000  0.000  0.000
Ac  0.500  0.500  0.000
Dy  0.000  0.500  0.500
Th  0.500  0.000  0.500
Bi  0.240  0.000  0.729
Bi  0.253  0.500  0.269
Bi  0.747  0.500  0.731
Bi  0.760  0.000  0.271

=====

An optimized crystal structure of YPOs3. Source: Alexandria via LeMat-Bulk, functional PBE-GGA.

Summary:
Magnetization   0.35 μB per formula unit
Crystal system   cubic
Distance to the lowest polymorph of the same formula   3.123 eV/atom
SG   Pm-3m
Energy of formation   3.26 eV/atom

Cell: 4.856 4.856 4.856 Å, 90.00 90.00 90.00°
Element x y z (fractional)
Y  0.000  0.000  0.000
P  0.500  0.500  0.500
Os  0.000  0.000  0.500
Os  0.000  0.500  0.000
Os  0.500  0.000  0.000

=====

What did the first record say?
An optimized crystal structure of SrNi2Se. Source: Alexandria via LeMat-Bulk, functional PBE-GGA.

Summary:
Magnetization   0.00 μB per formula unit
Energy relative to the elements, uncorrected   -0.37 eV per atom
Crystal system   trigonal
SG   R-3m

Cell: 4.165 4.165 15.621 Å, 90.00 90.00 120.00°
Element x y z (fractional)
Sr  0.000  0.000  0.000
Sr  0.333  0.667  0.667
Sr  0.667  0.333  0.333
Ni  0.000  0.000  0.192
Ni  0.000  0.000  0.808
Ni  0.333  0.667  0.475
Ni  0.333  0.667  0.858
Ni  0.667  0.333  0.142
Ni  0.667  0.333  0.525
Se  0.000  0.000  0.500
Se  0.333  0.667  0.167
Se  0.667  0.333  0.833